Here is a relaxed ScTl2Re crystal from Alexandria via LeMat-Bulk. Energies are from PBE-GGA.

Calculated values
The calculation puts the density of states at the Fermi level at 2.897 states/eV/cell. The value obtained for the total magnetic moment is 0.24 μB/f.u. The calculation puts the formation energy at 0.50 eV/atom.

abc: 4.276 4.276 4.451
angles: 90.00 90.00 90.00
Fractional coordinates of all 4 atoms:
Sc  0.000  0.000  0.000
Tl  0.000  0.500  0.500
Tl  0.500  0.000  0.500
Re  0.500  0.500  0.000